(1)
First-principles (PBEsol) data for Be2WBr after structural relaxation, as listed in the Alexandria database.

offset from the most stable computed form	0	meV/atom
formation energy (no corrections)	199.0	kJ/mol of formula units

Cell: 3.1489 3.1489 5.7516 Å, 90.00 90.00 90.00°
Last column: nearest neighbours and their distance in Å.
Atoms (fractional coordinates):
Be 0.0000 0.0000 0.1756  1 Be 2.02
Be 0.0000 0.0000 0.8244  1 Be 2.02
W 0.5000 0.5000 0.0000  8 Be 2.44
Br 0.5000 0.5000 0.5000  2 W 2.88, 8 Be 2.91, 4 Br 3.15

(2)
First-principles (PBEsol) data for TeWSe2 after structural relaxation, as listed in the Alexandria database.

formation energy (no corrections)	169.3	kJ/mol of formula units

Cell: 3.0037 3.0037 10.1520 Å, 90.00 90.00 114.00°
Last column: nearest neighbours and their distance in Å.
Atoms (fractional coordinates):
Te 0.0000 0.0000 0.0000  2 W 2.84, 4 Te 3.00
W 0.5000 0.5000 0.2292  2 Se 2.49
Se 0.0000 0.0000 0.4142  2 W 2.49
Se 0.5000 0.5000 0.7135  6 Se 3.00-3.27, 2 Te 3.34

(3)
First-principles (PBEsol) data for Li2CuGe after structural relaxation, as listed in the Alexandria database.

Cell: 4.1508 4.1508 4.1508 Å, 60.00 60.00 60.00°
Last column: nearest neighbours and their distance in Å.
Atoms (fractional coordinates):
Li 0.0000 0.0000 0.0000  4 Ge 2.54, 4 Li 2.54
Li 0.2500 0.2500 0.2500  4 Li 2.54, 4 Cu 2.54
Cu 0.5000 0.5000 0.5000  4 Ge 2.54, 4 Li 2.54
Ge 0.7500 0.7500 0.7500  4 Li 2.54, 4 Cu 2.54

(4)
First-principles (PBEsol) data for Mg3PPt after structural relaxation, as listed in the Alexandria database.

Cell: 4.6953 4.6953 4.6953 Å, 90.00 90.00 90.00°
Last column: nearest neighbours and their distance in Å.
Atoms (fractional coordinates):
Mg 0.0000 0.0000 0.5000  2 P 2.35
Mg 0.0000 0.5000 0.0000  2 P 2.35
Mg 0.5000 0.0000 0.0000  2 P 2.35
P 0.0000 0.0000 0.0000  6 Mg 2.35
Pt 0.5000 0.5000 0.5000  12 Mg 3.32

(5)
First-principles (PBEsol) data for AuC2 after structural relaxation, as listed in the Alexandria database.

offset from the most stable computed form	0	meV/atom

Cell: 10.4408 10.4408 4.7327 Å, 90.00 90.00 165.78°
Last column: nearest neighbours and their distance in Å.
Atoms (fractional coordinates):
Au 0.2503 0.7497 0.7500  6 Au 2.58-2.70
Au 0.7497 0.2503 0.2500  6 Au 2.58-2.70
C 0.0794 0.9206 0.2500  2 C 1.29
C 0.4205 0.5795 0.7500  2 C 1.29
C 0.5795 0.4205 0.2500  2 C 1.29
C 0.9206 0.0794 0.7500  2 C 1.29

(6)
First-principles (PBEsol) data for CdAsPd5 after structural relaxation, as listed in the Alexandria database.

Cell: 3.9715 3.9715 6.9750 Å, 90.00 90.00 90.00°
Last column: nearest neighbours and their distance in Å.
Atoms (fractional coordinates):
Cd 0.0000 0.0000 0.0000  12 Pd 2.81-2.83
As 0.5000 0.5000 0.5000  8 Pd 2.47
Pd 0.0000 0.5000 0.2892  2 As 2.47
Pd 0.0000 0.5000 0.7108  2 As 2.47
Pd 0.5000 0.0000 0.2892  2 As 2.47
Pd 0.5000 0.0000 0.7108  2 As 2.47
Pd 0.5000 0.5000 0.0000  4 Cd 2.81, 8 Pd 2.83

(7)
First-principles (PBEsol) data for Ca3Y after structural relaxation, as listed in the Alexandria database.

offset from the most stable computed form	15	meV/atom

Cell: 3.6011 3.6011 12.3513 Å, 90.00 90.00 112.74°
Last column: nearest neighbours and their distance in Å.
Atoms (fractional coordinates):
Ca 0.0000 0.0000 0.0000  10 Ca 3.60-3.99
Ca 0.5000 0.5000 0.2605  2 Y 3.57, 8 Ca 3.60-3.99
Ca 0.5000 0.5000 0.7395  2 Y 3.57, 8 Ca 3.60-3.99
Y 0.0000 0.0000 0.5000  4 Ca 3.57, 6 Y 3.60-3.99

(8)
First-principles (PBEsol) data for TlCd2In2 after structural relaxation, as listed in the Alexandria database.

offset from the most stable computed form	7	meV/atom

Cell: 7.3462 7.3462 7.3462 Å, 145.24 145.24 49.98°
Last column: nearest neighbours and their distance in Å.
Atoms (fractional coordinates):
Tl 0.0000 0.0000 0.0000  8 In 3.41
Cd 0.2500 0.7500 0.5000  4 In 2.92, 4 Cd 3.10
Cd 0.7500 0.2500 0.5000  4 In 2.92, 4 Cd 3.10
In 0.3942 0.3942 0.0000  1 In 2.82, 4 Cd 2.92
In 0.6058 0.6058 0.0000  1 In 2.82, 4 Cd 2.92

Ordered D(E_F) results: 0.4949 0.6801 0.2257 0.5006 0.0516 0.3616 1.4770 0.4256; unit states/eV per atom.
Ordered calculated total energy results: -5.404 -5.820 -3.635 -3.596 -6.856 -5.547 -3.215 -2.127; unit eV per atom.